(P)
Rb2Be2Au | PBE | optimized geometry

Lattice parameters (Å, degrees): 10.102 10.102 3.058 90.00 90.00 90.00
Space group P4/mbm (No. 127)
Symmetry-distinct sites (fractional):
Rb (0.210, 0.290, 0.000)
Be (0.072, 0.572, 0.500)
Au (0.000, 0.000, 0.000)

Values from the calculation:
Spin magnetization ... 0.000 μB per atom


(Q)
Rb2Be2Au | PBE | optimized geometry

Lattice parameters (Å, degrees): 3.355 3.355 22.678 90.00 90.00 90.00
Space group I4/mmm (No. 139)
Symmetry-distinct sites (fractional):
Rb (0.000, 0.000, 0.108)
Be (0.000, 0.500, 0.250)
Au (0.000, 0.000, 0.500)

Values from the calculation:
Spin magnetization ... 0.000 μB per atom


Most stable pick: (Q). Distance to second place: 39.1 kJ/mol of atoms.


(P)
RbBeAu3 | PBE | optimized geometry

Lattice parameters (Å, degrees): 4.801 4.801 4.801 90.00 90.00 90.00
Space group Pm-3m (No. 221)
Symmetry-distinct sites (fractional):
Rb (0.000, 0.000, 0.000)
Be (0.500, 0.500, 0.500)
Au (0.000, 0.500, 0.500)

Values from the calculation:
Spin magnetization ... 0.000 μB per atom


(Q)
RbBeAu3 | PBE | optimized geometry

Lattice parameters (Å, degrees): 6.504 6.542 6.559 115.30 93.61 93.43
Space group P1 (No. 1)
Symmetry-distinct sites (fractional):
Rb (0.000, 0.000, 0.000)
Rb (0.002, 0.343, 0.656)
Be (0.501, 0.778, 0.224)
Be (0.502, 0.560, 0.445)
Au (0.189, 0.611, 0.287)
Au (0.497, 0.730, 0.847)
Au (0.499, 0.387, 0.005)
Au (0.503, 0.996, 0.615)
Au (0.504, 0.157, 0.274)
Au (0.813, 0.713, 0.389)

Values from the calculation:
Spin magnetization ... 0.000 μB per atom


(R)
RbBeAu3 | PBE | optimized geometry

Lattice parameters (Å, degrees): 6.091 6.091 6.091 90.00 90.00 90.00
Space group Pm-3m (No. 221)
Symmetry-distinct sites (fractional):
Rb (0.000, 0.000, 0.000)
Be (0.500, 0.500, 0.500)
Au (0.000, 0.000, 0.500)

Values from the calculation:
Spin magnetization ... 0.000 μB per atom


Most stable pick: (Q). Distance to second place: 9.4 kJ/mol of atoms.


(P)
BeRe3Au | PBE | optimized geometry

Lattice parameters (Å, degrees): 4.813 4.813 4.813 90.00 90.00 90.00
Space group Pm-3m (No. 221)
Symmetry-distinct sites (fractional):
Be (0.000, 0.000, 0.000)
Re (0.000, 0.500, 0.500)
Au (0.500, 0.500, 0.500)

Values from the calculation:
Spin magnetization ... 0.485 μB per atom


(Q)
BeRe3Au | PBE | optimized geometry

Lattice parameters (Å, degrees): 4.171 4.171 4.171 90.00 90.00 90.00
Space group Pm-3m (No. 221)
Symmetry-distinct sites (fractional):
Be (0.000, 0.000, 0.000)
Re (0.000, 0.000, 0.500)
Au (0.500, 0.500, 0.500)

Values from the calculation:
Spin magnetization ... 0.000 μB per atom


Most stable pick: (Q). Distance to second place: 236.8 kJ/mol of atoms.


(P)
BeRh3Au | PBE | optimized geometry

Lattice parameters (Å, degrees): 4.163 4.163 4.163 90.00 90.00 90.00
Space group Pm-3m (No. 221)
Symmetry-distinct sites (fractional):
Be (0.000, 0.000, 0.000)
Rh (0.000, 0.000, 0.500)
Au (0.500, 0.500, 0.500)

Values from the calculation:
Spin magnetization ... 0.094 μB per atom


(Q)
BeRh3Au | PBE | optimized geometry

Lattice parameters (Å, degrees): 4.854 4.854 4.854 90.00 90.00 90.00
Space group Pm-3m (No. 221)
Symmetry-distinct sites (fractional):
Be (0.000, 0.000, 0.000)
Rh (0.000, 0.500, 0.500)
Au (0.500, 0.500, 0.500)

Values from the calculation:
Spin magnetization ... 0.501 μB per atom


Most stable pick: (P). Distance to second place: 165.1 kJ/mol of atoms.


(P)
Be3RhAu | PBE | optimized geometry

Lattice parameters (Å, degrees): 4.144 4.144 4.144 90.00 90.00 90.00
Space group Pm-3m (No. 221)
Symmetry-distinct sites (fractional):
Be (0.000, 0.000, 0.500)
Rh (0.000, 0.000, 0.000)
Au (0.500, 0.500, 0.500)

Values from the calculation:
Spin magnetization ... 0.000 μB per atom


(Q)
Be3RhAu | PBE | optimized geometry

Lattice parameters (Å, degrees): 4.200 4.200 4.200 90.00 90.00 90.00
Space group Pm-3m (No. 221)
Symmetry-distinct sites (fractional):
Be (0.000, 0.000, 0.500)
Rh (0.500, 0.500, 0.500)
Au (0.000, 0.000, 0.000)

Values from the calculation:
Spin magnetization ... 0.000 μB per atom


Most stable pick: (P). Distance to second place: 26.3 kJ/mol of atoms.


(P)
Be2RuAu | PBE | optimized geometry

Lattice parameters (Å, degrees): 5.928 5.928 5.928 90.00 90.00 90.00
Space group F-43m (No. 216)
Symmetry-distinct sites (fractional):
Be (0.000, 0.000, 0.000)
Be (0.250, 0.250, 0.250)
Ru (0.250, 0.250, 0.750)
Au (0.000, 0.000, 0.500)

Values from the calculation:
Spin magnetization ... 0.000 μB per atom


(Q)
Be2RuAu | PBE | optimized geometry

Lattice parameters (Å, degrees): 3.2262 3.2262 16.8634 90.00 90.00 120.00
Space group R3m (No. 160, hexagonal axes)
Symmetry-distinct sites (fractional):
Be (0.0000, 0.0000, 0.0000)
Be (0.0000, 0.0000, 0.1761)
Ru (0.0000, 0.0000, 0.5838)
Au (0.0000, 0.0000, 0.7573)

Values from the calculation:
Spin magnetization ... 0.000 μB per atom


(R)
Be2RuAu | PBE | optimized geometry

Lattice parameters (Å, degrees): 3.357 3.357 8.712 90.00 90.00 90.00
Space group I-4m2 (No. 119)
Symmetry-distinct sites (fractional):
Be (0.000, 0.000, 0.000)
Be (0.000, 0.500, 0.250)
Ru (0.000, 0.500, 0.750)
Au (0.000, 0.000, 0.500)

Values from the calculation:
Spin magnetization ... 0.000 μB per atom


Most stable pick: (R). Distance to second place: 4.6 kJ/mol of atoms.